[1]
Tb5Dy4Tm2, optimized geometry, DFT PBE-GGA; ΔE to the lowest computed polymorph = 0 meV per atom; magnetic moment = 0.00 μB/f.u.; DFT total energy = -4.528 eV/atom; ΔH_f (0 K) = 0.7 eV per formula unit
1.0
11.0315 -1.8181 0.0000
11.0315 1.8181 0.0000
-2.8296 0.0000 8.6460
Tb Dy Tm
5 4 2
Cartesian
0.0000 0.0000 0.0000 Tb
4.8629 0.0000 2.9168 Tb
6.0601 0.0000 6.6480 Tb
13.1732 0.0000 1.9980 Tb
14.3704 0.0000 5.7292 Tb
1.0996 0.0000 8.0427 Dy
9.7018 0.0000 2.5071 Dy
9.5315 0.0000 6.1389 Dy
18.1337 0.0000 0.6033 Dy
0.7654 0.0000 4.5731 Tm
18.4679 0.0000 4.0729 Tm



[2]
SrAcSbCl, optimized geometry, DFT PBE-GGA; magnetic moment = 0.00 μB/f.u.; DFT total energy = -4.233 eV/atom; uncorrected formation energy = -124.8 kJ/mol of atoms
1.0
7.9373 0.0000 0.0000
0.0000 7.9373 0.0000
0.0000 0.0000 7.9373
Sr Ac Sb Cl
4 4 4 4
Cartesian
0.0000 0.0000 0.0000 Sr
0.0000 3.9687 3.9687 Sr
3.9687 0.0000 3.9687 Sr
3.9687 3.9687 0.0000 Sr
0.0000 0.0000 3.9687 Ac
0.0000 3.9687 0.0000 Ac
3.9687 0.0000 0.0000 Ac
3.9687 3.9687 3.9687 Ac
1.9843 1.9843 5.9530 Sb
1.9843 5.9530 1.9843 Sb
5.9530 1.9843 1.9843 Sb
5.9530 5.9530 5.9530 Sb
1.9843 1.9843 1.9843 Cl
1.9843 5.9530 5.9530 Cl
5.9530 1.9843 5.9530 Cl
5.9530 5.9530 1.9843 Cl



[3]
SmTiRh2, optimized geometry, DFT PBE-GGA; magnetic moment = 0.00 μB/f.u.; DFT total energy = -7.516 eV/atom; ΔH_f (0 K) = -2.7 eV per formula unit
1.0
3.1763 0.0000 0.0000
0.0000 3.1763 0.0000
0.0000 0.0000 7.1161
Sm Ti Rh
1 1 2
Cartesian
0.0000 0.0000 0.0000 Sm
0.0000 0.0000 3.5580 Ti
1.5882 1.5882 2.1051 Rh
1.5882 1.5882 5.0110 Rh